No. 1
{
  "formula": "Pr3Tm4Cd",
  "functional": "GGA-PBE",
  "state": "relaxed",
  "dft_energy_ev_per_atom": -4.206,
  "lattice_angstrom": [[3.612, 0.000, 0.000], [0.000, 3.612, 0.000], [0.000, 0.000, 19.104]],
  "species": ["Pr", "Pr", "Pr", "Tm", "Tm", "Tm", "Tm", "Cd"],
  "fractional_positions": [[0.000, 0.000, 0.000], [0.000, 0.000, 0.265], [0.000, 0.000, 0.735], [0.500, 0.500, 0.132], [0.500, 0.500, 0.397], [0.500, 0.500, 0.603], [0.500, 0.500, 0.868], [0.000, 0.000, 0.500]]
}

***

No. 2
{
  "formula": "Fe3Ir3Rh",
  "functional": "GGA-PBE",
  "state": "relaxed",
  "dft_energy_ev_per_atom": -8.485,
  "lattice_angstrom": [[7.082, 0.000, 0.000], [-3.541, 6.134, 0.000], [0.000, 0.000, 4.287]],
  "species": ["Fe", "Fe", "Fe", "Fe", "Fe", "Fe", "Ir", "Ir", "Ir", "Ir", "Ir", "Ir", "Rh", "Rh"],
  "fractional_positions": [[0.093, 0.473, 0.250], [0.380, 0.907, 0.250], [0.473, 0.380, 0.750], [0.527, 0.620, 0.250], [0.620, 0.093, 0.750], [0.907, 0.527, 0.750], [0.041, 0.245, 0.750], [0.204, 0.959, 0.750], [0.245, 0.204, 0.250], [0.755, 0.796, 0.750], [0.796, 0.041, 0.250], [0.959, 0.755, 0.250], [0.333, 0.667, 0.750], [0.667, 0.333, 0.250]]
}

***

No. 3
{
  "formula": "GaTe2NO",
  "functional": "GGA-PBE",
  "state": "relaxed",
  "dft_energy_ev_per_atom": -3.508,
  "e_form_raw_mev_per_atom": 1010,
  "lattice_angstrom": [[4.703, 0.000, 0.000], [0.000, 4.703, 0.000], [0.000, 0.000, 4.072]],
  "species": ["Ga", "Te", "Te", "N", "O"],
  "fractional_positions": [[0.000, 0.000, 0.000], [0.000, 0.500, 0.500], [0.500, 0.000, 0.500], [0.500, 0.500, 0.000], [0.500, 0.500, 0.500]]
}

***

No. 4
{
  "formula": "TiV3As",
  "functional": "GGA-PBE",
  "state": "relaxed",
  "dft_energy_ev_per_atom": -8.258,
  "lattice_angstrom": [[8.377, 0.000, 0.000], [0.000, 3.226, 0.000], [0.000, 0.000, 10.990]],
  "species": ["Ti", "Ti", "Ti", "Ti", "V", "V", "V", "V", "V", "V", "V", "V", "V", "V", "V", "V", "As", "As", "As", "As"],
  "fractional_positions": [[0.148, 0.250, 0.007], [0.352, 0.750, 0.507], [0.648, 0.250, 0.493], [0.852, 0.750, 0.993], [0.061, 0.250, 0.410], [0.085, 0.750, 0.230], [0.156, 0.750, 0.799], [0.344, 0.250, 0.299], [0.415, 0.250, 0.730], [0.439, 0.750, 0.910], [0.561, 0.250, 0.090], [0.585, 0.750, 0.270], [0.656, 0.750, 0.701], [0.844, 0.250, 0.201], [0.915, 0.250, 0.770], [0.939, 0.750, 0.590], [0.158, 0.250, 0.625], [0.342, 0.750, 0.125], [0.658, 0.250, 0.875], [0.842, 0.750, 0.375]]
}

***

No. 5
{
  "formula": "NbHg3Pt",
  "functional": "GGA-PBE",
  "state": "relaxed",
  "dft_energy_ev_per_atom": -2.050,
  "lattice_angstrom": [[5.322, 0.000, 0.000], [0.000, 5.322, 0.000], [0.000, 0.000, 5.322]],
  "species": ["Nb", "Hg", "Hg", "Hg", "Pt"],
  "fractional_positions": [[0.000, 0.000, 0.000], [0.000, 0.000, 0.500], [0.000, 0.500, 0.000], [0.500, 0.000, 0.000], [0.500, 0.500, 0.500]]
}

***

No. 6
{
  "formula": "YSi2Ag6",
  "functional": "GGA-PBE",
  "state": "relaxed",
  "dft_energy_ev_per_atom": -4.005,
  "e_form_raw_mev_per_atom": -181,
  "lattice_angstrom": [[4.150, 0.000, 0.000], [0.000, 4.150, 0.000], [0.000, 0.000, 9.608]],
  "species": ["Y", "Si", "Si", "Ag", "Ag", "Ag", "Ag", "Ag", "Ag"],
  "fractional_positions": [[0.000, 0.000, 0.000], [0.500, 0.500, 0.118], [0.500, 0.500, 0.882], [0.000, 0.000, 0.500], [0.000, 0.500, 0.279], [0.000, 0.500, 0.721], [0.500, 0.000, 0.279], [0.500, 0.000, 0.721], [0.500, 0.500, 0.500]]
}

***

No. 7
{
  "formula": "La4Pm9In11",
  "functional": "GGA-PBE",
  "state": "relaxed",
  "dft_energy_ev_per_atom": -4.286,
  "lattice_angstrom": [[8.194, -11.938, 0.000], [8.194, 11.938, 0.000], [0.000, 0.000, 3.604]],
  "species": ["La", "La", "La", "La", "Pm", "Pm", "Pm", "Pm", "Pm", "Pm", "Pm", "Pm", "Pm", "In", "In", "In", "In", "In", "In", "In", "In", "In", "In", "In"],
  "fractional_positions": [[0.093, 0.258, 0.000], [0.258, 0.093, 0.000], [0.742, 0.907, 0.000], [0.907, 0.742, 0.000], [0.000, 0.000, 0.000], [0.110, 0.666, 0.000], [0.296, 0.491, 0.000], [0.334, 0.890, 0.000], [0.491, 0.296, 0.000], [0.509, 0.704, 0.000], [0.666, 0.110, 0.000], [0.704, 0.509, 0.000], [0.890, 0.334, 0.000], [0.091, 0.462, 0.500], [0.121, 0.879, 0.500], [0.303, 0.303, 0.500], [0.310, 0.690, 0.500], [0.462, 0.091, 0.500], [0.500, 0.500, 0.500], [0.538, 0.909, 0.500], [0.690, 0.310, 0.500], [0.697, 0.697, 0.500], [0.879, 0.121, 0.500], [0.909, 0.538, 0.500]]
}

***

No. 8
{
  "formula": "Sr3RhAu",
  "functional": "GGA-PBE",
  "state": "relaxed",
  "dft_energy_ev_per_atom": -3.339,
  "lattice_angstrom": [[5.683, 0.000, 0.000], [0.000, 5.683, 0.000], [0.000, 0.000, 5.683]],
  "species": ["Sr", "Sr", "Sr", "Rh", "Au"],
  "fractional_positions": [[0.000, 0.000, 0.500], [0.000, 0.500, 0.000], [0.500, 0.000, 0.000], [0.000, 0.000, 0.000], [0.500, 0.500, 0.500]]
}

***

No. 9
{
  "formula": "Y2RePtW",
  "functional": "GGA-PBE",
  "state": "relaxed",
  "dft_energy_ev_per_atom": -7.621,
  "lattice_angstrom": [[5.338, 0.000, 0.000], [0.000, 5.338, 0.000], [0.000, 0.000, 4.741]],
  "species": ["Y", "Y", "Re", "Pt", "W"],
  "fractional_positions": [[0.000, 0.500, 0.000], [0.500, 0.000, 0.000], [0.000, 0.000, 0.000], [0.000, 0.000, 0.500], [0.500, 0.500, 0.500]]
}

***

Copy entry 8 word for word.
{
  "formula": "Sr3RhAu",
  "functional": "GGA-PBE",
  "state": "relaxed",
  "dft_energy_ev_per_atom": -3.339,
  "lattice_angstrom": [[5.683, 0.000, 0.000], [0.000, 5.683, 0.000], [0.000, 0.000, 5.683]],
  "species": ["Sr", "Sr", "Sr", "Rh", "Au"],
  "fractional_positions": [[0.000, 0.000, 0.500], [0.000, 0.500, 0.000], [0.500, 0.000, 0.000], [0.000, 0.000, 0.000], [0.500, 0.500, 0.500]]
}